The following is a PBE-GGA calculation of AlSiH after structural relaxation, from the Alexandria database.

Lattice parameters (Å, degrees): 3.676 4.688 9.973 90.00 90.00 90.00
Space group Imma (No. 74)
Asymmetric unit:
Al (0.000, 0.250, 0.078)
Si (0.000, 0.250, 0.819)
H (0.000, 0.250, 0.429)

Summary:
Total magnetization = 0.00 μB/cell
Relative energy among the computed polymorphs = 0.000 eV per atom
ρ = 2167 kg/m3
Density of states at the Fermi level = 0.991 states/eV per cell

---

The following is a PBE-GGA calculation of AlSiH3 after structural relaxation, from the Alexandria database.

Lattice parameters (Å, degrees): 3.573 3.573 3.573 90.00 90.00 90.00
Space group Pm-3m (No. 221)
Asymmetric unit:
Al (0.000, 0.000, 0.000)
Si (0.500, 0.500, 0.500)
H (0.000, 0.000, 0.500)

Summary:
Total magnetization = 0.00 μB/cell
Relative energy among the computed polymorphs = 0.054 eV per atom
ρ = 2114 kg/m3
Density of states at the Fermi level = 1.982 states/eV per cell

---

Question: total magnetization of number 2 (AlSiH3)?
Answer: 0.00 μB/cell